[1]
Material: TbCe3Nd4Te8
Method: DFT, GGA-PBE
State: relaxed

Calculated values
Formation energy (no corrections), kJ per mole of atoms: -134
Crystal system: trigonal
DOS at the Fermi energy, states/eV/atom: 1.6465

Lattice parameters (Å, degrees): 8.975 8.975 8.975 59.77 59.77 59.77
Sites, in units of the cell vectors:
Tb 0.000 0.000 0.000
Ce 0.000 0.500 0.500
Ce 0.500 0.000 0.500
Ce 0.500 0.500 0.000
Nd 0.000 0.000 0.500
Nd 0.000 0.500 0.000
Nd 0.500 0.000 0.000
Nd 0.500 0.500 0.500
Te 0.246 0.246 0.753
Te 0.246 0.753 0.246
Te 0.247 0.754 0.754
Te 0.250 0.250 0.250
Te 0.750 0.750 0.750
Te 0.753 0.246 0.246
Te 0.754 0.247 0.754
Te 0.754 0.754 0.247



[2]
Material: TbCeNdTh
Method: DFT, GGA-PBE
State: relaxed

Calculated values
Polymorph energy (0 for the lowest one), meV per atom: 189
Crystal system: cubic
Energy of formation from the pure elements, eV/atom: 0.230
DOS at the Fermi energy, states/eV/atom: 3.4168

Lattice parameters (Å, degrees): 5.686 5.686 5.686 60.00 60.00 60.00
Sites, in units of the cell vectors:
Tb 0.000 0.000 0.000
Ce 0.500 0.500 0.500
Nd 0.250 0.250 0.250
Th 0.750 0.750 0.750



[3]
Material: TbCeNdTh
Method: DFT, GGA-PBE
State: relaxed

Calculated values
Polymorph energy (0 for the lowest one), meV per atom: 0
Crystal system: trigonal
Energy of formation from the pure elements, eV/atom: 0.041
DOS at the Fermi energy, states/eV/atom: 1.9049

Lattice parameters (Å, degrees): 11.744 11.744 11.744 17.48 17.48 17.48
Sites, in units of the cell vectors:
Tb 0.000 0.000 0.000
Ce 0.415 0.415 0.415
Nd 0.246 0.246 0.246
Th 0.828 0.828 0.828



[4]
Material: Tb2CeNdTl4
Method: DFT, GGA-PBE
State: relaxed

Calculated values
Crystal system: trigonal
Energy of formation from the pure elements, eV/atom: -0.326
DOS at the Fermi energy, states/eV/atom: 1.5497

Lattice parameters (Å, degrees): 9.462 9.462 9.462 33.50 33.50 33.50
Sites, in units of the cell vectors:
Tb 0.250 0.250 0.250
Tb 0.750 0.750 0.750
Ce 0.000 0.000 0.000
Nd 0.500 0.500 0.500
Tl 0.125 0.125 0.125
Tl 0.375 0.375 0.375
Tl 0.625 0.625 0.625
Tl 0.875 0.875 0.875



[5]
Material: Tb3CeNdTm
Method: DFT, GGA-PBE
State: relaxed

Calculated values
Crystal system: orthorhombic
Energy of formation from the pure elements, eV/atom: 0.164
DOS at the Fermi energy, states/eV/atom: 2.4303

Lattice parameters (Å, degrees): 6.529 6.529 11.492 90.00 90.00 128.00
Sites, in units of the cell vectors:
Tb 0.144 0.856 0.750
Tb 0.325 0.675 0.527
Tb 0.325 0.675 0.973
Tb 0.675 0.325 0.027
Tb 0.675 0.325 0.473
Tb 0.856 0.144 0.250
Ce 0.473 0.527 0.250
Ce 0.527 0.473 0.750
Nd 0.000 0.000 0.000
Nd 0.000 0.000 0.500
Tm 0.171 0.829 0.250
Tm 0.829 0.171 0.750



[6]
Material: TbCe2Nd3Tm6
Method: DFT, GGA-PBE
State: relaxed

Calculated values
Crystal system: monoclinic
Energy of formation from the pure elements, eV/atom: 0.045
DOS at the Fermi energy, states/eV/atom: 1.6082

Lattice parameters (Å, degrees): 6.151 6.151 11.652 95.05 95.05 119.98
Sites, in units of the cell vectors:
Tb 0.000 0.000 0.000
Ce 0.334 0.666 0.000
Ce 0.666 0.334 0.000
Nd 0.166 0.834 0.500
Nd 0.500 0.500 0.500
Nd 0.834 0.166 0.500
Tm 0.082 0.418 0.246
Tm 0.253 0.253 0.754
Tm 0.418 0.082 0.246
Tm 0.582 0.918 0.754
Tm 0.747 0.747 0.246
Tm 0.918 0.582 0.754



[7]
Material: TbCeNdTm3
Method: DFT, GGA-PBE
State: relaxed

Calculated values
Crystal system: orthorhombic
Energy of formation from the pure elements, eV/atom: 0.147
DOS at the Fermi energy, states/eV/atom: 2.4552

Lattice parameters (Å, degrees): 6.361 6.361 11.597 90.00 90.00 125.84
Sites, in units of the cell vectors:
Tb 0.176 0.824 0.750
Tb 0.824 0.176 0.250
Ce 0.497 0.503 0.750
Ce 0.503 0.497 0.250
Nd 0.000 0.000 0.000
Nd 0.000 0.000 0.500
Tm 0.171 0.829 0.250
Tm 0.329 0.671 0.003
Tm 0.329 0.671 0.497
Tm 0.671 0.329 0.503
Tm 0.671 0.329 0.997
Tm 0.829 0.171 0.750



[8]
Material: TbCeNdTm
Method: DFT, GGA-PBE
State: relaxed

Calculated values
Crystal system: cubic
Energy of formation from the pure elements, eV/atom: 0.163
DOS at the Fermi energy, states/eV/atom: 2.5332

Lattice parameters (Å, degrees): 5.679 5.679 5.679 60.00 60.00 60.00
Sites, in units of the cell vectors:
Tb 0.000 0.000 0.000
Ce 0.750 0.750 0.750
Nd 0.250 0.250 0.250
Tm 0.500 0.500 0.500



[9]
Material: TbCeNd6Tm2
Method: DFT, GGA-PBE
State: relaxed

Calculated values
Crystal system: monoclinic
Energy of formation from the pure elements, eV/atom: 0.238
DOS at the Fermi energy, states/eV/atom: 2.2548

Lattice parameters (Å, degrees): 6.645 6.645 8.847 100.96 100.96 64.27
Sites, in units of the cell vectors:
Tb 0.000 0.000 0.000
Ce 0.500 0.500 0.500
Nd 0.061 0.596 0.701
Nd 0.370 0.370 0.079
Nd 0.404 0.939 0.299
Nd 0.596 0.061 0.701
Nd 0.630 0.630 0.921
Nd 0.939 0.404 0.299
Tm 0.092 0.092 0.661
Tm 0.908 0.908 0.339



[10]
Material: TbCeNdY3
Method: DFT, GGA-PBE
State: relaxed

Calculated values
Crystal system: orthorhombic
Energy of formation from the pure elements, eV/atom: 0.060
DOS at the Fermi energy, states/eV/atom: 1.9373

Lattice parameters (Å, degrees): 7.996 7.996 10.147 90.00 90.00 142.94
Sites, in units of the cell vectors:
Tb 0.166 0.834 0.750
Tb 0.834 0.166 0.250
Ce 0.499 0.501 0.250
Ce 0.501 0.499 0.750
Nd 0.000 0.000 0.000
Nd 0.000 0.000 0.500
Y 0.167 0.833 0.250
Y 0.335 0.665 0.000
Y 0.335 0.665 0.500
Y 0.665 0.335 0.000
Y 0.665 0.335 0.500
Y 0.833 0.167 0.750



[11]
Material: Tb6Ce2Nd3Y
Method: DFT, GGA-PBE
State: relaxed

Calculated values
Crystal system: monoclinic
Energy of formation from the pure elements, eV/atom: 0.047
DOS at the Fermi energy, states/eV/atom: 1.7761

Lattice parameters (Å, degrees): 6.214 6.214 11.845 95.01 95.01 120.00
Sites, in units of the cell vectors:
Tb 0.081 0.418 0.754
Tb 0.246 0.246 0.246
Tb 0.418 0.081 0.754
Tb 0.582 0.919 0.246
Tb 0.754 0.754 0.754
Tb 0.919 0.582 0.246
Ce 0.166 0.834 0.000
Ce 0.834 0.166 0.000
Nd 0.000 0.000 0.500
Nd 0.334 0.666 0.500
Nd 0.666 0.334 0.500
Y 0.500 0.500 0.000



[12]
Material: TbCeNdY2
Method: DFT, GGA-PBE
State: relaxed

Calculated values
Crystal system: orthorhombic
Energy of formation from the pure elements, eV/atom: 0.287
DOS at the Fermi energy, states/eV/atom: 2.1058

Lattice parameters (Å, degrees): 5.865 7.638 7.458 90.00 90.00 90.00
Sites, in units of the cell vectors:
Tb 0.250 0.000 0.124
Tb 0.750 0.000 0.876
Ce 0.000 0.000 0.500
Ce 0.500 0.000 0.500
Nd 0.250 0.500 0.342
Nd 0.750 0.500 0.658
Y 0.250 0.287 0.828
Y 0.250 0.713 0.828
Y 0.750 0.287 0.172
Y 0.750 0.713 0.172



no.,V (Å³/f.u.)
1,508.51
2,130.01
3,127.51
4,229.80
5,193.03
6,375.91
7,190.21
8,129.51
9,342.90
10,195.49
11,390.06
12,167.03